{
  "formula": "Ba2AlHg",
  "functional": "PBE",
  "state": "optimized geometry",
  "formation_enthalpy_0k_ev_per_atom": -0.25,
  "dft_energy_ev_per_cell": -8.89,
  "volume_a3_per_atom": 34.90,
  "mass_density_g_cm3": 5.97,
  "cell": [[6.870, 0.015, -0.001], [3.177, 6.091, 0.001], [-4.391, -4.094, 3.340]],
  "species": ["Al", "Hg", "Ba", "Ba"],
  "fractional_positions": [[0.294, 0.794, 0.500], [0.456, 0.456, 0.000], [0.030, 0.030, 0.000], [0.720, 0.220, 0.500]]
}

{
  "formula": "HgSb2TeH",
  "functional": "PBE",
  "state": "optimized geometry",
  "dft_energy_ev_per_cell": -9.54,
  "volume_a3_per_atom": 39.87,
  "mass_density_g_cm3": 4.77,
  "cell": [[5.853, 0.000, 0.000], [0.000, 5.818, 0.000], [0.000, 0.000, 5.853]],
  "species": ["Sb", "Sb", "Te", "Hg", "H"],
  "fractional_positions": [[0.000, 0.000, 0.500], [0.500, 0.000, 0.000], [0.000, 0.000, 0.000], [0.000, 0.500, 0.000], [0.500, 0.500, 0.500]]
}